# 1
Density functional theory data (meta-GGA SCAN) for a PBEsol-optimized structure of LaSc2ZnPt.

The space-group type is P4/mmm, No. 123. The density of states at the Fermi level is 5.28 states/eV/f.u. For the total magnetization, the calculation gives 0.282 μB per atom.

Cell lengths 4.9837, 4.9837, 4.7024 Å; angles 90.00, 90.00, 90.00 degrees
With the nearest neighbours (Å) after each atom.
Fractional coordinates of all 5 atoms:
La1 0.0000 0.0000 0.0000  8 Sc 3.43, 4 Pt 3.52
Sc1 0.0000 0.5000 0.5000  2 Zn 2.49
Sc2 0.5000 0.0000 0.5000  2 Zn 2.49
Zn1 0.5000 0.5000 0.5000  2 Pt 2.35, 4 Sc 2.49
Pt1 0.5000 0.5000 0.0000  2 Zn 2.35

# 2
Density functional theory data (meta-GGA SCAN) for a PBEsol-optimized structure of ScInCu4.

The space-group type is F-43m, No. 216. The density of states at the Fermi level is 0.39 states/eV/f.u. For the total magnetization, the calculation gives 0.000 μB per atom.

Cell lengths 4.9277, 4.9277, 4.9277 Å; angles 60.00, 60.00, 60.00 degrees
With the nearest neighbours (Å) after each atom.
Fractional coordinates of all 6 atoms:
Sc1 0.0000 0.0000 0.0000  12 Cu 2.89, 4 In 3.02
In1 0.7500 0.7500 0.7500  12 Cu 2.89, 4 Sc 3.02
Cu1 0.3749 0.3749 0.3749  6 Cu 2.46-2.47
Cu2 0.3749 0.3749 0.8754  6 Cu 2.46-2.47
Cu3 0.3749 0.8754 0.3749  6 Cu 2.46-2.47
Cu4 0.8754 0.3749 0.3749  6 Cu 2.46-2.47

| no. | calculated formation energy (meV per atom) |
| --- | --- |
| 1 | -141 |
| 2 | -323 |